Ac3Mg2Ni3 (PBE, relaxed); DFT total energy = -4.282 eV/atom; DOS at the Fermi energy = 0.679 states/eV per atom; space-group type = No. 193; size of the total moment = 0.00 μB/atom
1.0
8.707 0.000 0.000
-4.353 7.540 0.000
0.000 0.000 5.983
Ac Mg Ni
6 4 6
direct
0.000 0.278 0.250 Ac
0.000 0.722 0.750 Ac
0.278 0.000 0.250 Ac
0.278 0.278 0.750 Ac
0.722 0.000 0.750 Ac
0.722 0.722 0.250 Ac
0.333 0.667 0.000 Mg
0.333 0.667 0.500 Mg
0.667 0.333 0.000 Mg
0.667 0.333 0.500 Mg
0.000 0.397 0.750 Ni
0.000 0.603 0.250 Ni
0.397 0.000 0.750 Ni
0.397 0.397 0.250 Ni
0.603 0.000 0.250 Ni
0.603 0.603 0.750 Ni